# 1
Entry from Alexandria via LeMat-Bulk: an optimized crystal structure of TbYSnHg (PBE).

Cell: 3.8013 3.8013 7.3316 Å, 90.00 90.00 90.00°
Closest atoms and distances in Å follow each position.
Positions (direct):
Tb: 0.0000 0.0000 0.0000  4 Hg 3.24, 4 Sn 3.27, 1 Y 3.62
Y: 0.0000 0.0000 0.5062  4 Hg 3.24, 4 Sn 3.26, 1 Tb 3.62
Sn: 0.5000 0.5000 0.2542  4 Y 3.26, 4 Tb 3.27, 1 Hg 3.65
Hg: 0.5000 0.5000 0.7521  4 Y 3.24, 4 Tb 3.24

## Properties
ΔE_f   -0.574 eV/atom
Total magnetic moment   0.00 μB/f.u.
Energy above the most stable polymorph in this dataset   10 meV per atom
SG   P4mm
D(E_F)   2.48 states/eV per cell
VASP energy   -4.42 eV/atom
Volume   26.49 A^3/atom

***

# 2
Entry from Alexandria via LeMat-Bulk: an optimized crystal structure of Tc2SnHg (PBE).

Cell: 5.9981 5.9981 5.9981 Å, 102.23 102.23 125.20°
Closest atoms and distances in Å follow each position.
Positions (direct):
Tc: 0.1128 0.6250 0.9878  2 Sn 2.69, 2 Tc 2.77, 2 Hg 2.81
Tc: 0.3750 0.3628 0.4878  2 Sn 2.69, 2 Tc 2.77, 2 Hg 2.81
Tc: 0.6372 0.1250 0.0122  2 Sn 2.69, 2 Tc 2.77, 2 Hg 2.81
Tc: 0.8750 0.8872 0.5122  2 Sn 2.69, 2 Tc 2.77, 2 Hg 2.81
Sn: 0.0000 0.0000 0.0000  4 Tc 2.69, 2 Hg 2.76
Sn: 0.7500 0.2500 0.5000  4 Tc 2.69, 2 Hg 2.76
Hg: 0.2500 0.7500 0.5000  2 Sn 2.76, 4 Tc 2.81
Hg: 0.5000 0.5000 0.0000  2 Sn 2.76, 4 Tc 2.81

## Properties
ΔE_f   0.915 eV/atom
Total magnetic moment   1.93 μB/f.u.
Energy above the most stable polymorph in this dataset   387 meV per atom
SG   I-42d
D(E_F)   8.89 states/eV per cell
VASP energy   -5.34 eV/atom
Volume   19.57 A^3/atom